(1)
Material: GeTePI2
Method: DFT, PBE-GGA
State: relaxed

The uncorrected formation energy comes out at 0.499 eV per atom. The value obtained for the total energy is -2.7545 eV/atom. As for the energy above the lowest structure with this stoichiometry: 0.000 eV/atom.

The space group is P4/mmm (No. 123) and the conventional cell measures 5.3281, 5.3281 and 5.5581 Å, with angles of 90.00, 90.00 and 90.00 degrees. The distinct sites, in fractional coordinates, are Ge at (0.0000, 0.0000, 0.0000), Te at (0.5000, 0.5000, 0.0000), P at (0.5000, 0.5000, 0.5000) and I at (0.0000, 0.5000, 0.5000).

---

(2)
Material: Ag4Sn2Au3
Method: DFT, PBE-GGA
State: relaxed

The value obtained for the total energy is -3.3004 eV/atom. For the energy relative to the elements, the calculation gives -51.3 meV/atom. As for the energy above the lowest structure with this stoichiometry: 0.000 eV/atom.

The space group is C2/m (No. 12) and the conventional cell measures 9.6617, 4.3329 and 8.9771 Å, with angles of 90.00, 112.67 and 90.00 degrees. The distinct sites, in fractional coordinates, are Ag at (0.0022, 0.0000, 0.1652), Ag at (0.1682, 0.5000, 0.3900), Sn at (0.1660, 0.5000, 0.7276), Au at (0.0000, 0.0000, 0.5000) and Au at (0.1640, 0.5000, 0.0556).

---

(3)
Material: TbGdTmZn
Method: DFT, PBE-GGA
State: relaxed

The value obtained for the total energy is -6.0960 eV/atom. For the energy relative to the elements, the calculation gives 18.2 meV/atom.

The space group is F-43m (No. 216) and the conventional cell measures 7.5299, 7.5299 and 7.5299 Å, with angles of 90.00, 90.00 and 90.00 degrees. The distinct sites, in fractional coordinates, are Tb at (0.0000, 0.0000, 0.0000), Gd at (0.0000, 0.0000, 0.5000), Tm at (0.2500, 0.2500, 0.7500) and Zn at (0.2500, 0.2500, 0.2500).

---

(4)
Material: Cs4LiPu3O12
Method: DFT, PBE-GGA
State: relaxed

The uncorrected formation energy comes out at -2.269 eV per atom. The value obtained for the total energy is -7.6602 eV/atom.

The space group is Im-3m (No. 229) and the conventional cell measures 8.8541, 8.8541 and 8.8541 Å, with angles of 90.00, 90.00 and 90.00 degrees. The distinct sites, in fractional coordinates, are Cs at (0.2500, 0.2500, 0.2500), Li at (0.0000, 0.0000, 0.0000), Pu at (0.0000, 0.0000, 0.5000), O at (0.0000, 0.0000, 0.2875) and O at (0.0000, 0.2500, 0.5000).

---

(5)
Material: NpRuI
Method: DFT, PBE-GGA
State: relaxed

The uncorrected formation energy comes out at -0.066 eV per atom. The value obtained for the total energy is -7.9880 eV/atom.

The space group is Pmmn (No. 59, origin choice 2) and the conventional cell measures 3.9540, 4.0701 and 11.8293 Å, with angles of 90.00, 90.00 and 90.00 degrees. The distinct sites, in fractional coordinates, are Np at (0.2500, 0.2500, 0.1515), Ru at (0.2500, 0.7500, 0.9975) and I at (0.2500, 0.7500, 0.6464).

---

(6)
Material: TlGa2Te
Method: DFT, PBE-GGA
State: relaxed

The uncorrected formation energy comes out at 0.063 eV per atom. The value obtained for the total energy is -2.8274 eV/atom. As for the energy above the lowest structure with this stoichiometry: 0.099 eV/atom.

The space group is Fm-3m (No. 225) and the conventional cell measures 7.5311, 7.5311 and 7.5311 Å, with angles of 90.00, 90.00 and 90.00 degrees. The distinct sites, in fractional coordinates, are Tl at (0.0000, 0.0000, 0.0000), Ga at (0.2500, 0.2500, 0.2500) and Te at (0.0000, 0.0000, 0.5000).